Version w
Compound: Li2NiW
Source: the Alexandria database
Functional: PBE-GGA
Structure: relaxed

Summary:
Symmetry: Pm, No. 6
DOS at the Fermi energy (states/eV/atom): 0.722

Unit cell a=2.555 b=4.055 c=5.506 alpha=90.00 beta=102.75 gamma=90.00
Fractional positions:
Li  0.000  0.000  0.000
Li  0.391  0.500  0.799
Ni  0.140  0.500  0.297
W  0.720  0.000  0.466


Version x
Compound: Li2NiW
Source: the Alexandria database
Functional: PBE-GGA
Structure: relaxed

Summary:
Symmetry: Cmmm, No. 65
DOS at the Fermi energy (states/eV/atom): 0.688

Unit cell a=2.594 b=2.594 c=9.059 alpha=90.00 beta=90.00 gamma=113.41
Fractional positions:
Li  0.000  0.000  0.227
Li  0.000  0.000  0.773
Ni  0.500  0.500  0.000
W  0.500  0.500  0.500


Winner for stability: version w


Version w
Compound: Li2NiW
Source: the Alexandria database
Functional: PBE-GGA
Structure: relaxed

Summary:
Symmetry: I-42d, No. 122
DOS at the Fermi energy (states/eV/atom): 0.673

Unit cell a=5.281 b=5.281 c=5.281 alpha=101.97 beta=101.97 gamma=125.81
Fractional positions:
Li  0.091  0.125  0.466
Li  0.375  0.909  0.034
Li  0.659  0.625  0.534
Li  0.875  0.341  0.966
Ni  0.000  0.000  0.000
Ni  0.750  0.250  0.500
W  0.250  0.750  0.500
W  0.500  0.500  0.000


Version x
Compound: Li2NiW
Source: the Alexandria database
Functional: PBE-GGA
Structure: relaxed

Summary:
Symmetry: P4/mmm, No. 123
DOS at the Fermi energy (states/eV/atom): 1.250

Unit cell a=4.550 b=4.550 c=2.541 alpha=90.00 beta=90.00 gamma=90.00
Fractional positions:
Li  0.000  0.500  0.000
Li  0.500  0.000  0.000
Ni  0.000  0.000  0.500
W  0.500  0.500  0.500


Version y
Compound: Li2NiW
Source: the Alexandria database
Functional: PBE-GGA
Structure: relaxed

Summary:
Symmetry: P4/mmm, No. 123
DOS at the Fermi energy (states/eV/atom): 0.724

Unit cell a=3.459 b=3.459 c=4.574 alpha=90.00 beta=90.00 gamma=90.00
Fractional positions:
Li  0.000  0.500  0.000
Li  0.500  0.000  0.000
Ni  0.000  0.000  0.500
W  0.500  0.500  0.500


Winner for stability: version y


Version w
Compound: LiNiW2
Source: the Alexandria database
Functional: PBE-GGA
Structure: relaxed

Summary:
Symmetry: Imm2, No. 44
DOS at the Fermi energy (states/eV/atom): 0.977

Unit cell a=4.785 b=4.785 c=4.785 alpha=140.65 beta=125.74 gamma=69.06
Fractional positions:
Li  0.000  0.000  0.000
Ni  0.228  0.728  0.500
W  0.473  0.473  0.000
W  0.730  0.230  0.500


Version x
Compound: LiNiW2
Source: the Alexandria database
Functional: PBE-GGA
Structure: relaxed

Summary:
Symmetry: I-42d, No. 122
DOS at the Fermi energy (states/eV/atom): 0.801

Unit cell a=5.447 b=5.447 c=5.447 alpha=102.44 beta=102.44 gamma=124.70
Fractional positions:
Li  0.000  0.000  0.000
Li  0.750  0.250  0.500
Ni  0.250  0.750  0.500
Ni  0.500  0.500  0.000
W  0.144  0.125  0.519
W  0.375  0.856  0.981
W  0.606  0.625  0.481
W  0.875  0.394  0.019


Version y
Compound: LiNiW2
Source: the Alexandria database
Functional: PBE-GGA
Structure: relaxed

Summary:
Symmetry: R-3m, No. 166
DOS at the Fermi energy (states/eV/atom): 1.299

Unit cell a=9.529 b=9.529 c=9.529 alpha=16.35 beta=16.35 gamma=16.35
Fractional positions:
Li  0.000  0.000  0.000
Ni  0.500  0.500  0.500
W  0.243  0.243  0.243
W  0.757  0.757  0.757


Winner for stability: version y